Entry 1:
GGA-PBE AcDyAl2Ga2, optimized geometry; final energy = -25.5 eV/cell; calculated formation energy = -0.5438 eV per atom; symmetry = P-3m1, No. 164
1.0
-4.217 0.993 -0.386
1.194 -4.048 1.055
-0.277 2.147 8.546
Ac Dy Al Ga
1 1 2 2
Cartesian
0.000 0.000 0.000 Ac
-0.138 1.073 4.273 Dy
-2.489 -0.104 2.415 Al
-0.812 -0.804 6.800 Al
-2.613 0.861 6.259 Ga
-0.687 -1.769 2.957 Ga

Entry 2:
GGA-PBE Si2IN, optimized geometry; raw formation energy = 1.7153 eV/atom; final energy = -13.9 eV/cell; symmetry = Fm-3m, No. 225; distance to the lowest polymorph of the same formula = 1113 meV/atom
1.0
0.000 3.264 3.264
3.264 0.000 3.264
3.264 3.264 0.000
I Si N
1 2 1
Cartesian
3.264 3.264 3.264 I
1.632 1.632 1.632 Si
4.896 4.896 4.896 Si
0.000 0.000 0.000 N

Entry 3:
GGA-PBE B3SeF, optimized geometry; raw formation energy = 1.9198 eV/atom; final energy = -15.8 eV/cell; symmetry = Pm-3m, No. 221; distance to the lowest polymorph of the same formula = 3 meV/atom
1.0
-0.529 -3.255 -2.347
3.043 1.217 -2.375
2.615 -2.075 2.288
B Se F
3 1 1
Cartesian
1.521 0.609 -1.187 B
1.308 -1.037 1.144 B
-0.265 -1.627 -1.173 B
2.564 -2.056 -1.217 Se
0.000 0.000 0.000 F

Question: Among the records above, which one has the highest final energy?
Answer: Si2IN